[1]
Compound: TiTeBr
Source: Alexandria
Functional: GGA-PBE
Structure: relaxed

Values from the calculation:
**Calculated volume**: 170 Å³ per cell
**Formation energy without anion corrections**: -0.88 eV/atom
**Energy**: -0.18797 Ha/atom

Cell: 3.7237 3.7237 14.2949 Å, 90.06 97.42 120.00°
Closest atoms and distances in Å follow each position.
Element x y z (fractional)
Ti: 0.8358 0.9180 0.7537  3 Br 2.70, 3 Te 2.75
Ti: 0.1642 0.0820 0.2463  3 Br 2.70, 3 Te 2.75
Te: 0.2499 0.6254 0.8754  3 Ti 2.75
Te: 0.7501 0.3746 0.1246  3 Ti 2.75
Br: 0.5742 0.7877 0.3619  3 Ti 2.70
Br: 0.4258 0.2123 0.6381  3 Ti 2.70

***

[2]
Compound: Ac3ZnPd
Source: Alexandria
Functional: GGA-PBE
Structure: relaxed

Values from the calculation:
**Calculated volume**: 697 Å³ per cell
**Energy of formation from the pure elements**: -0.324 eV/atom
**Energy**: -0.15004 Ha/atom

Cell: 7.2696 10.7403 9.5085 Å, 110.20 90.00 90.00°
Closest atoms and distances in Å follow each position.
Element x y z (fractional)
Ac: 0.0680 0.6321 0.8622  3 Pd 3.00-3.08
Ac: 0.9320 0.3679 0.1378  3 Pd 3.00-3.08
Ac: 0.5680 0.8679 0.1378  3 Pd 3.00-3.08
Ac: 0.4320 0.1321 0.8622  3 Pd 3.00-3.08
Ac: 0.5823 0.4643 0.7937  2 Pd 3.07, 1 Zn 3.28
Ac: 0.4177 0.5357 0.2063  2 Pd 3.07, 1 Zn 3.28
Ac: 0.0823 0.0357 0.2063  2 Pd 3.07, 1 Zn 3.28
Ac: 0.9177 0.9643 0.7937  2 Pd 3.07, 1 Zn 3.28
Ac: 0.0274 0.2467 0.6080  1 Pd 3.08, 3 Zn 3.40-3.43
Ac: 0.9726 0.7533 0.3920  1 Pd 3.08, 3 Zn 3.40-3.43
Ac: 0.5274 0.2533 0.3920  1 Pd 3.08, 3 Zn 3.40-3.43
Ac: 0.4726 0.7467 0.6080  1 Pd 3.08, 3 Zn 3.40-3.43
Zn: 0.8203 0.5171 0.5263  1 Zn 2.66
Zn: 0.1797 0.4829 0.4737  1 Zn 2.66
Zn: 0.3203 0.9829 0.4737  1 Zn 2.66
Zn: 0.6797 0.0171 0.5263  1 Zn 2.66
Pd: 0.2234 0.3844 0.9095  6 Ac 3.00-3.08
Pd: 0.7766 0.6156 0.0905  6 Ac 3.00-3.08
Pd: 0.7234 0.1156 0.0905  6 Ac 3.00-3.08
Pd: 0.2766 0.8844 0.9095  6 Ac 3.00-3.08

***

[3]
Compound: BeRu
Source: Alexandria
Functional: GGA-PBE
Structure: relaxed

Values from the calculation:
**Calculated volume**: 23 Å³ per cell
**Energy of formation from the pure elements**: -0.020 eV/atom
**Energy**: -0.23966 Ha/atom

Cell: 3.9803 3.9803 3.9803 Å, 39.63 39.63 39.63°
Closest atoms and distances in Å follow each position.
Element x y z (fractional)
Ru: 0.5000 0.5000 0.5000  6 Be 2.40
Be: 0.0000 0.0000 0.0000  6 Ru 2.40

***

[4]
Compound: K3In2As3
Source: Alexandria
Functional: GGA-PBE
Structure: relaxed

Values from the calculation:
**Calculated volume**: 1035 Å³ per cell
**Energy of formation from the pure elements**: -0.446 eV/atom
**Energy**: -0.12075 Ha/atom

Cell: 10.6083 10.6083 15.0042 Å, 90.00 90.00 142.18°
Closest atoms and distances in Å follow each position.
Element x y z (fractional)
As: 0.6616 0.6616 0.6196  2 In 2.69
As: 0.8384 0.8384 0.1196  2 In 2.69
As: 0.1616 0.1616 0.8804  2 In 2.69
As: 0.3384 0.3384 0.3804  2 In 2.69
As: 0.4488 0.1006 0.5982  3 In 2.73-2.81
As: 0.0512 0.3994 0.0982  3 In 2.73-2.81
As: 0.6006 0.9488 0.9018  3 In 2.73-2.81
As: 0.8994 0.5512 0.4018  3 In 2.73-2.81
As: 0.5512 0.8994 0.4018  3 In 2.73-2.81
As: 0.9488 0.6006 0.9018  3 In 2.73-2.81
As: 0.3994 0.0512 0.0982  3 In 2.73-2.81
As: 0.1006 0.4488 0.5982  3 In 2.73-2.81
In: 0.0832 0.9168 0.0000  4 As 2.69-2.81
In: 0.4168 0.5832 0.5000  4 As 2.69-2.81
In: 0.9168 0.0832 0.0000  4 As 2.69-2.81
In: 0.5832 0.4168 0.5000  4 As 2.69-2.81
In: 0.2609 0.7391 0.0000  4 As 2.73-2.76
In: 0.2391 0.7609 0.5000  4 As 2.73-2.76
In: 0.7391 0.2609 0.0000  4 As 2.73-2.76
In: 0.7609 0.2391 0.5000  4 As 2.73-2.76
K: 0.1512 0.1512 0.6385  5 As 3.38-3.65, 2 In 3.59
K: 0.3488 0.3488 0.1385  5 As 3.38-3.65, 2 In 3.59
K: 0.6512 0.6512 0.8615  5 As 3.38-3.65, 2 In 3.59
K: 0.8488 0.8488 0.3615  5 As 3.38-3.65, 2 In 3.59
K: 0.6122 0.9272 0.6757  5 As 3.35-3.68, 2 In 3.48-3.55
K: 0.8878 0.5728 0.1757  5 As 3.35-3.68, 2 In 3.48-3.55
K: 0.4272 0.1122 0.8243  5 As 3.35-3.68, 2 In 3.48-3.55
K: 0.0728 0.3878 0.3243  5 As 3.35-3.68, 2 In 3.48-3.55
K: 0.3878 0.0728 0.3243  5 As 3.35-3.68, 2 In 3.48-3.55
K: 0.1122 0.4272 0.8243  5 As 3.35-3.68, 2 In 3.48-3.55
K: 0.5728 0.8878 0.1757  5 As 3.35-3.68, 2 In 3.48-3.55
K: 0.9272 0.6122 0.6757  5 As 3.35-3.68, 2 In 3.48-3.55

***

[5]
Compound: Cu3TeRh
Source: Alexandria
Functional: GGA-PBE
Structure: relaxed

Values from the calculation:
**Calculated volume**: 101 Å³ per cell
**Formation energy without anion corrections**: 0.88 eV/atom
**Energy**: -0.13499 Ha/atom

Cell: 4.6518 4.6518 4.6518 Å, 90.00 90.00 90.00°
Closest atoms and distances in Å follow each position.
Element x y z (fractional)
Te: 0.5000 0.5000 0.5000  12 Cu 3.29
Rh: 0.0000 0.0000 0.0000  6 Cu 2.33
Cu: 0.0000 0.5000 0.0000  2 Rh 2.33
Cu: 0.0000 0.0000 0.5000  2 Rh 2.33
Cu: 0.5000 0.0000 0.0000  2 Rh 2.33

***

[6]
Compound: Rb2In4SnGe3
Source: Alexandria
Functional: GGA-PBE
Structure: relaxed

Values from the calculation:
**Calculated volume**: 293 Å³ per cell
**Energy of formation from the pure elements**: -0.088 eV/atom
**Energy**: -0.11621 Ha/atom

Cell: 5.0841 5.0841 11.3505 Å, 90.00 90.00 90.00°
Closest atoms and distances in Å follow each position.
Element x y z (fractional)
Rb: 0.5000 0.0000 0.2493  8 In 3.80-3.83, 7 Ge 3.82-4.22, 2 Sn 3.82
Rb: 0.0000 0.5000 0.7507  8 In 3.80-3.83, 7 Ge 3.82-4.22, 2 Sn 3.82
In: 0.5000 0.5000 0.0000  4 Ge 2.90
In: 0.0000 0.0000 0.0000  4 Ge 2.90
In: 0.5000 0.0000 0.6337  3 Ge 2.77-2.96, 2 Sn 2.96
In: 0.0000 0.5000 0.3663  3 Ge 2.77-2.96, 2 Sn 2.96
Sn: 0.5000 0.5000 0.5000  4 In 2.96
Ge: 0.0000 0.0000 0.5000  4 In 2.96
Ge: 0.5000 0.0000 0.8774  5 In 2.77-2.90
Ge: 0.0000 0.5000 0.1226  5 In 2.77-2.90

***

[7]
Compound: CuAs
Source: Alexandria
Functional: GGA-PBE
Structure: relaxed

Values from the calculation:
**Calculated volume**: 65 Å³ per cell
**Energy of formation from the pure elements**: 0.199 eV/atom
**Energy**: -0.15339 Ha/atom

Cell: 2.8325 2.8325 9.3587 Å, 90.00 90.00 120.00°
Closest atoms and distances in Å follow each position.
Element x y z (fractional)
As: 0.0000 0.0000 0.9456  3 Cu 2.59, 6 As 2.83
As: 0.6667 0.3333 0.3044  3 Cu 2.59, 6 As 2.83
Cu: 0.0000 0.0000 0.5191  9 Cu 2.57-2.83, 3 As 2.59
Cu: 0.6667 0.3333 0.7309  9 Cu 2.57-2.83, 3 As 2.59

***

[8]
Compound: Tl8Se3S2
Source: Alexandria
Functional: GGA-PBE
Structure: relaxed

Values from the calculation:
**Calculated volume**: 476 Å³ per cell
**Formation energy without anion corrections**: -0.28 eV/atom
**Energy**: -0.11676 Ha/atom

Cell: 7.9990 8.7061 9.3634 Å, 117.70 120.04 90.00°
Closest atoms and distances in Å follow each position.
Element x y z (fractional)
Tl: 0.9495 0.3578 0.7155  1 S 2.99, 2 Se 3.07
Tl: 0.0505 0.6422 0.2845  1 S 2.99, 2 Se 3.07
Tl: 0.9935 0.8635 0.7269  3 Se 3.11-3.34, 1 S 3.27
Tl: 0.0065 0.1365 0.2731  3 Se 3.11-3.34, 1 S 3.27
Tl: 0.4543 0.8983 0.2464  2 S 2.88-2.95, 2 Se 3.00
Tl: 0.4543 0.3481 0.2464  2 S 2.88-2.95, 2 Se 3.00
Tl: 0.5457 0.6519 0.7536  2 S 2.88-2.95, 2 Se 3.00
Tl: 0.5457 0.1017 0.7536  2 S 2.88-2.95, 2 Se 3.00
Se: 0.5000 0.0000 0.0000  6 Tl 3.00-3.34
Se: 0.0000 0.2487 0.0000  6 Tl 3.00-3.11
Se: 0.0000 0.7513 0.0000  6 Tl 3.00-3.11
S: 0.4985 0.7379 0.4759  5 Tl 2.88-2.99
S: 0.5015 0.2621 0.5241  5 Tl 2.88-2.99

***

[9]
Compound: DyThHg4
Source: Alexandria
Functional: GGA-PBE
Structure: relaxed

Values from the calculation:
**Calculated volume**: 149 Å³ per cell
**Energy of formation from the pure elements**: -0.319 eV/atom
**Energy**: -0.09275 Ha/atom

Cell: 3.4084 5.0195 9.3518 Å, 90.00 111.27 90.00°
Closest atoms and distances in Å follow each position.
Element x y z (fractional)
Dy: 0.0007 0.9972 0.4980  12 Hg 3.33-3.36, 2 Dy 3.41
Th: 0.5016 0.4973 0.9982  12 Hg 3.38-3.40, 2 Th 3.41
Hg: 0.1731 0.9973 0.1694  3 Hg 2.90-2.98
Hg: 0.8296 0.9973 0.8268  3 Hg 2.90-2.98
Hg: 0.6663 0.4973 0.6609  3 Hg 2.84-2.90
Hg: 0.3365 0.4973 0.3355  3 Hg 2.84-2.90

***

[10]
Compound: Ce6In2Os
Source: Alexandria
Functional: GGA-PBE
Structure: relaxed

Values from the calculation:
**Calculated volume**: 489 Å³ per cell
**Energy of formation from the pure elements**: -0.233 eV/atom
**Energy**: -0.22217 Ha/atom

Cell: 7.8160 7.2101 8.6695 Å, 90.00 90.35 90.00°
Closest atoms and distances in Å follow each position.
Element x y z (fractional)
Ce: 0.9333 0.0001 0.1813  2 Ce 2.80, 1 Os 2.81
Ce: 0.7451 0.7460 0.5111  1 Os 2.71, 1 Ce 2.80
Ce: 0.7550 0.7540 0.9890  1 Os 2.71, 1 Ce 2.80
Ce: 0.7450 0.2540 0.5110  1 Os 2.71, 1 Ce 2.80
Ce: 0.7549 0.2460 0.9889  1 Os 2.71, 1 Ce 2.80
Ce: 0.5667 0.5001 0.3187  2 Ce 2.80, 1 Os 2.81
Ce: 0.0667 0.9999 0.8187  2 Ce 2.80, 1 Os 2.81
Ce: 0.2549 0.2540 0.4889  1 Os 2.71, 1 Ce 2.80
Ce: 0.2450 0.2460 0.0110  1 Os 2.71, 1 Ce 2.80
Ce: 0.2550 0.7460 0.4890  1 Os 2.71, 1 Ce 2.80
Ce: 0.2451 0.7540 0.0111  1 Os 2.71, 1 Ce 2.80
Ce: 0.4333 0.4999 0.6813  2 Ce 2.80, 1 Os 2.81
In: 0.0142 0.5000 0.7502  11 Ce 3.33-3.68
In: 0.4858 0.0000 0.7498  11 Ce 3.33-3.68
In: 0.5142 0.0000 0.2502  11 Ce 3.33-3.68
In: 0.9858 0.5000 0.2498  11 Ce 3.33-3.68
Os: 0.5000 0.5000 0.0000  6 Ce 2.71-2.81
Os: 0.0000 0.0000 0.5000  6 Ce 2.71-2.81

***

[11]
Compound: RbBa2HoBr8
Source: Alexandria
Functional: GGA-PBE
Structure: relaxed

Values from the calculation:
**Calculated volume**: 513 Å³ per cell
**Formation energy without anion corrections**: -1.98 eV/atom
**Energy**: -0.14264 Ha/atom

Cell: 7.2540 7.0919 9.9731 Å, 89.99 90.00 90.46°
Closest atoms and distances in Å follow each position.
Element x y z (fractional)
Rb: 0.0000 0.0000 0.5000  6 Br 3.37-3.53
Ba: 0.5000 0.4999 0.7571  6 Br 3.20-3.32
Ba: 0.5000 0.5001 0.2429  6 Br 3.20-3.32
Ho: 0.0000 0.0000 0.0000  6 Br 2.80-2.86
Br: 0.1457 0.7747 0.2035  1 Ho 2.80
Br: 0.6787 0.7647 0.9999  1 Ho 2.86
Br: 0.8541 0.2251 0.2035  1 Ho 2.80
Br: 0.8543 0.2253 0.7965  1 Ho 2.80
Br: 0.3213 0.2353 0.0001  1 Ho 2.86
Br: 0.1459 0.7749 0.7965  1 Ho 2.80
Br: 0.6038 0.7490 0.5000  2 Ba 3.20, 1 Rb 3.37
Br: 0.3962 0.2510 0.5000  2 Ba 3.20, 1 Rb 3.37

***

[12]
Compound: K6Rb12Sn
Source: Alexandria
Functional: GGA-PBE
Structure: relaxed

Values from the calculation:
**Calculated volume**: 1585 Å³ per cell
**Energy of formation from the pure elements**: 0.038 eV/atom
**Energy**: -0.04155 Ha/atom

Cell: 11.6624 11.6624 11.6624 Å, 88.82 88.82 88.82°
Closest atoms and distances in Å follow each position.
Element x y z (fractional)
K: 0.1197 0.3602 0.4341  3 K 4.52-4.65, 5 Rb 4.70-5.01
K: 0.6398 0.5659 0.8803  3 K 4.52-4.65, 5 Rb 4.70-5.01
K: 0.5659 0.8803 0.6398  3 K 4.52-4.65, 5 Rb 4.70-5.01
K: 0.8803 0.6398 0.5659  3 K 4.52-4.65, 5 Rb 4.70-5.01
K: 0.3602 0.4341 0.1197  3 K 4.52-4.65, 5 Rb 4.70-5.01
K: 0.4341 0.1197 0.3602  3 K 4.52-4.65, 5 Rb 4.70-5.01
Rb: 0.3715 0.2394 0.7410  6 Rb 4.71-5.14, 4 K 4.72-5.01
Rb: 0.2394 0.7410 0.3715  6 Rb 4.71-5.14, 4 K 4.72-5.01
Rb: 0.7410 0.3715 0.2394  6 Rb 4.71-5.14, 4 K 4.72-5.01
Rb: 0.6285 0.7606 0.2590  6 Rb 4.71-5.14, 4 K 4.72-5.01
Rb: 0.7606 0.2590 0.6285  6 Rb 4.71-5.14, 4 K 4.72-5.01
Rb: 0.2590 0.6285 0.7606  6 Rb 4.71-5.14, 4 K 4.72-5.01
Rb: 0.0489 0.9753 0.6943  1 Sn 3.62
Rb: 0.3057 0.9511 0.0247  1 Sn 3.62
Rb: 0.0247 0.3057 0.9511  1 Sn 3.62
Rb: 0.9511 0.0247 0.3057  1 Sn 3.62
Rb: 0.6943 0.0489 0.9753  1 Sn 3.62
Rb: 0.9753 0.6943 0.0489  1 Sn 3.62
Sn: 0.0000 0.0000 0.0000  6 Rb 3.62